Entry 1:
LaIn2Pd9: optimized geometry, PBE-GGA.

Calculated values
The value obtained for the volume is 208 Å³ per cell. The formation energy is -547 meV/atom.

a = 4.128 Å, b = 4.128 Å, c = 12.203 Å
α = 90.00°, β = 90.00°, γ = 90.00°
Space group P4/mmm (No. 123)
Unique sites:
La 0.000 0.000 0.000 (multiplicity 1)
In 0.000 0.000 0.341 (multiplicity 2)
Pd 0.000 0.500 0.179 (multiplicity 4)
Pd 0.000 0.500 0.500 (multiplicity 2)
Pd 0.500 0.500 0.000 (multiplicity 1)
Pd 0.500 0.500 0.337 (multiplicity 2)



Entry 2:
Er8RuRh2: optimized geometry, PBE-GGA.

Calculated values
The value obtained for the volume is 538 Å³ per cell. The formation energy is -460 meV/atom.

a = 17.014 Å, b = 4.924 Å, c = 6.730 Å
α = 90.00°, β = 107.35°, γ = 90.00°
Space group C2/m (No. 12)
Unique sites:
Er 0.032 0.000 0.293 (multiplicity 4)
Er 0.094 0.500 0.945 (multiplicity 4)
Er 0.167 0.500 0.466 (multiplicity 4)
Er 0.201 0.000 0.812 (multiplicity 4)
Ru 0.000 0.500 0.500 (multiplicity 2)
Rh 0.188 0.000 0.203 (multiplicity 4)



Entry 3:
HfCd2Pd8: optimized geometry, PBE-GGA.

Calculated values
The value obtained for the volume is 386 Å³ per cell. The formation energy is -291 meV/atom.

a = 8.224 Å, b = 10.929 Å, c = 4.299 Å
α = 90.00°, β = 90.00°, γ = 90.00°
Space group Cmmm (No. 65)
Unique sites:
Hf 0.000 0.000 0.000 (multiplicity 2)
Cd 0.000 0.374 0.500 (multiplicity 4)
Pd 0.000 0.237 0.000 (multiplicity 4)
Pd 0.168 0.130 0.500 (multiplicity 8)
Pd 0.172 0.500 0.000 (multiplicity 4)



Entry 4:
Mg3C: optimized geometry, PBE-GGA.

Calculated values
The value obtained for the volume is 137 Å³ per cell. The formation energy is 567 meV/atom.

a = 3.627 Å, b = 4.767 Å, c = 7.909 Å
α = 90.00°, β = 90.00°, γ = 90.00°
Space group Cmmm (No. 65)
Unique sites:
Mg 0.000 0.000 0.000 (multiplicity 2)
Mg 0.000 0.500 0.332 (multiplicity 4)
C 0.000 0.000 0.500 (multiplicity 2)



Entry 5:
YCr2Rh: optimized geometry, PBE-GGA.

Calculated values
The value obtained for the volume is 139 Å³ per cell. The formation energy is 69 meV/atom.

a = 4.617 Å, b = 4.617 Å, c = 6.508 Å
α = 90.00°, β = 90.00°, γ = 90.00°
Space group I-4m2 (No. 119)
Unique sites:
Y 0.000 0.000 0.000 (multiplicity 2)
Cr 0.000 0.000 0.500 (multiplicity 2)
Cr 0.000 0.500 0.750 (multiplicity 2)
Rh 0.000 0.500 0.250 (multiplicity 2)



Entry 6:
La2Dy3Y6Er: optimized geometry, PBE-GGA.

Calculated values
The value obtained for the volume is 783 Å³ per cell. The formation energy is 22 meV/atom.

a = 6.220 Å, b = 10.771 Å, c = 11.871 Å
α = 90.00°, β = 100.03°, γ = 90.00°
Space group C2/m (No. 12)
Unique sites:
La 0.000 0.166 0.000 (multiplicity 4)
Dy 0.000 0.000 0.500 (multiplicity 2)
Dy 0.000 0.334 0.500 (multiplicity 4)
Y 0.247 0.500 0.746 (multiplicity 4)
Y 0.249 0.166 0.746 (multiplicity 8)
Er 0.000 0.500 0.000 (multiplicity 2)



Copy entry 5 word for word.
YCr2Rh: optimized geometry, PBE-GGA.

Calculated values
The value obtained for the volume is 139 Å³ per cell. The formation energy is 69 meV/atom.

a = 4.617 Å, b = 4.617 Å, c = 6.508 Å
α = 90.00°, β = 90.00°, γ = 90.00°
Space group I-4m2 (No. 119)
Unique sites:
Y 0.000 0.000 0.000 (multiplicity 2)
Cr 0.000 0.000 0.500 (multiplicity 2)
Cr 0.000 0.500 0.750 (multiplicity 2)
Rh 0.000 0.500 0.250 (multiplicity 2)



- Which of these has the lowest volume?
  Mg3C



- Among the records above, which one has the highest volume?
  La2Dy3Y6Er



What did the sixth record say?
La2Dy3Y6Er: optimized geometry, PBE-GGA.

Calculated values
The value obtained for the volume is 783 Å³ per cell. The formation energy is 22 meV/atom.

a = 6.220 Å, b = 10.771 Å, c = 11.871 Å
α = 90.00°, β = 100.03°, γ = 90.00°
Space group C2/m (No. 12)
Unique sites:
La 0.000 0.166 0.000 (multiplicity 4)
Dy 0.000 0.000 0.500 (multiplicity 2)
Dy 0.000 0.334 0.500 (multiplicity 4)
Y 0.247 0.500 0.746 (multiplicity 4)
Y 0.249 0.166 0.746 (multiplicity 8)
Er 0.000 0.500 0.000 (multiplicity 2)